[1]
Computed, not measured: crystalline Ce4GaRu2 at its relaxed geometry at the PBE level of DFT.

Results
formation energy from the elements = -249.3 kJ/mol of formula units

```
Ce4GaRu2
1.0
6.7133 0.0000 0.0000
-1.7607 6.6620 0.0000
-2.4769 -3.3291 7.3812
Ce Ga Ru
8 2 4
direct
0.0000 0.0000 0.0000
0.0521 0.7223 0.5906
0.1157 0.2859 0.7172
0.2784 0.6152 0.1980
0.5021 0.5249 0.5978
0.5564 0.0797 0.7070
0.6544 0.1529 0.3067
0.7335 0.5685 0.1082
0.1502 0.0199 0.3770
0.4299 0.7970 0.9293
0.0433 0.3581 0.3355
0.3607 0.1753 0.9715
0.7169 0.8379 0.4778
0.8912 0.5124 0.8276
```

[2]
Computed, not measured: crystalline Sm3YP4 at its relaxed geometry at the PBE level of DFT.

Results
formation energy from the elements = -1222.6 kJ/mol of formula units

```
Sm3YP4
1.0
4.0842 -5.7749 0.0000
4.0842 5.7749 0.0000
0.0000 0.0000 4.0868
Sm Y P
3 1 4
direct
0.0000 0.0000 0.0000
0.0000 0.5000 0.5000
0.5000 0.0000 0.5000
0.5000 0.5000 0.0000
0.2518 0.7482 0.0000
0.2535 0.2535 0.5000
0.7465 0.7465 0.5000
0.7482 0.2518 0.0000
```

[3]
Computed, not measured: crystalline BeSiSb at its relaxed geometry at the PBE level of DFT.

Results
ΔE_f (raw) = 0.270 eV per atom
distance to the lowest polymorph of the same formula = 81 meV per atom

```
BeSiSb
1.0
1.8932 1.0930 9.2851
-1.8932 1.0930 9.2851
0.0000 -2.1861 9.2851
Be Si Sb
2 2 2
direct
0.0000 0.0000 0.0000
0.0768 0.0768 0.0768
0.4485 0.4485 0.4485
0.7080 0.7080 0.7080
0.1723 0.1723 0.1723
0.6149 0.6149 0.6149
```

[4]
Computed, not measured: crystalline AcSm2Dy3Y6 at its relaxed geometry at the PBE level of DFT.

Results
formation energy from the elements = 33.0 kJ/mol of formula units

```
AcSm2Dy3Y6
1.0
3.1304 -5.4194 0.0000
3.1304 5.4194 0.0000
-2.0793 0.0000 11.7258
Ac Sm Dy Y
1 2 3 6
direct
0.0000 0.0000 0.0000
0.3334 0.6666 0.0000
0.6666 0.3334 0.0000
0.1669 0.8331 0.5000
0.5000 0.5000 0.5000
0.8331 0.1669 0.5000
0.0858 0.4213 0.2552
0.2500 0.2500 0.7446
0.4213 0.0858 0.2552
0.5787 0.9142 0.7448
0.7500 0.7500 0.2554
0.9142 0.5787 0.7448
```

Number 1: spin magnetization 1.65 μB per cell. Number 2: spin magnetization 0.00 μB per cell. Number 3: spin magnetization 0.00 μB per cell. Number 4: spin magnetization 0.00 μB per cell.